(1)
DFT (PBE) results for crystalline K3SmSi2O7 at its relaxed geometry.

The formation energy from raw total energies comes out at -2.683 eV per atom. The volume comes out at 16.55 Å³ per atom.

Cell lengths 10.087, 10.087, 14.651 Å; angles 90.00, 90.00, 120.00 degrees
Sites, in units of the cell vectors:
1 K 0.000 0.000 0.000
2 K 0.000 0.000 0.500
3 K 0.000 0.331 0.090
4 K 0.000 0.331 0.410
5 K 0.000 0.669 0.590
6 K 0.000 0.669 0.910
7 K 0.331 0.000 0.090
8 K 0.331 0.000 0.410
9 K 0.331 0.331 0.590
10 K 0.331 0.331 0.910
11 K 0.333 0.667 0.250
12 K 0.333 0.667 0.750
13 K 0.667 0.333 0.250
14 K 0.667 0.333 0.750
15 K 0.669 0.000 0.590
16 K 0.669 0.000 0.910
17 K 0.669 0.669 0.090
18 K 0.669 0.669 0.410
19 Sm 0.000 0.000 0.250
20 Sm 0.000 0.000 0.750
21 Sm 0.333 0.667 0.000
22 Sm 0.333 0.667 0.500
23 Sm 0.667 0.333 0.000
24 Sm 0.667 0.333 0.500
25 Si 0.000 0.341 0.643
26 Si 0.000 0.341 0.857
27 Si 0.000 0.659 0.143
28 Si 0.000 0.659 0.357
29 Si 0.341 0.000 0.643
30 Si 0.341 0.000 0.857
31 Si 0.341 0.341 0.143
32 Si 0.341 0.341 0.357
33 Si 0.659 0.000 0.143
34 Si 0.659 0.000 0.357
35 Si 0.659 0.659 0.643
36 Si 0.659 0.659 0.857
37 O 0.000 0.178 0.646
38 O 0.000 0.178 0.854
39 O 0.000 0.404 0.750
40 O 0.000 0.596 0.250
41 O 0.000 0.822 0.146
42 O 0.000 0.822 0.354
43 O 0.154 0.475 0.593
44 O 0.154 0.475 0.907
45 O 0.154 0.678 0.093
46 O 0.154 0.678 0.407
47 O 0.178 0.000 0.646
48 O 0.178 0.000 0.854
49 O 0.178 0.178 0.146
50 O 0.178 0.178 0.354
51 O 0.322 0.475 0.093
52 O 0.322 0.475 0.407
53 O 0.322 0.846 0.593
54 O 0.322 0.846 0.907
55 O 0.404 0.000 0.750
56 O 0.404 0.404 0.250
57 O 0.475 0.154 0.593
58 O 0.475 0.154 0.907
59 O 0.475 0.322 0.093
60 O 0.475 0.322 0.407
61 O 0.525 0.678 0.593
62 O 0.525 0.678 0.907
63 O 0.525 0.846 0.093
64 O 0.525 0.846 0.407
65 O 0.596 0.000 0.250
66 O 0.596 0.596 0.750
67 O 0.678 0.154 0.093
68 O 0.678 0.154 0.407
69 O 0.678 0.525 0.593
70 O 0.678 0.525 0.907
71 O 0.822 0.000 0.146
72 O 0.822 0.000 0.354
73 O 0.822 0.822 0.646
74 O 0.822 0.822 0.854
75 O 0.846 0.322 0.593
76 O 0.846 0.322 0.907
77 O 0.846 0.525 0.093
78 O 0.846 0.525 0.407

***

(2)
DFT (PBE) results for crystalline KSmSi2O6 at its relaxed geometry.

The formation energy from raw total energies comes out at -2.873 eV per atom. The volume comes out at 14.13 Å³ per atom.

Cell lengths 7.283, 7.283, 5.447 Å; angles 98.51, 98.51, 88.32 degrees
Sites, in units of the cell vectors:
1 K 0.171 0.829 0.750
2 K 0.829 0.171 0.250
3 Sm 0.380 0.620 0.250
4 Sm 0.620 0.380 0.750
5 Si 0.138 0.301 0.780
6 Si 0.301 0.138 0.280
7 Si 0.699 0.862 0.720
8 Si 0.862 0.699 0.220
9 O 0.074 0.628 0.276
10 O 0.155 0.178 0.022
11 O 0.178 0.155 0.522
12 O 0.305 0.454 0.847
13 O 0.372 0.926 0.224
14 O 0.454 0.305 0.347
15 O 0.546 0.695 0.653
16 O 0.628 0.074 0.776
17 O 0.695 0.546 0.153
18 O 0.822 0.845 0.478
19 O 0.845 0.822 0.978
20 O 0.926 0.372 0.724

***

(3)
DFT (PBE) results for crystalline KSiSnO5 at its relaxed geometry.

The formation energy from raw total energies comes out at -1.863 eV per atom. The volume comes out at 14.23 Å³ per atom.

Cell lengths 5.912, 5.912, 7.540 Å; angles 105.29, 105.29, 106.03 degrees
Sites, in units of the cell vectors:
1 K 0.164 0.836 0.750
2 K 0.836 0.164 0.250
3 Si 0.196 0.804 0.250
4 Si 0.804 0.196 0.750
5 Sn 0.500 0.500 0.000
6 Sn 0.500 0.500 0.500
7 O 0.102 0.273 0.889
8 O 0.212 0.625 0.384
9 O 0.273 0.102 0.389
10 O 0.375 0.788 0.116
11 O 0.430 0.570 0.750
12 O 0.570 0.430 0.250
13 O 0.625 0.212 0.884
14 O 0.727 0.898 0.611
15 O 0.788 0.375 0.616
16 O 0.898 0.727 0.111

***

(4)
DFT (PBE) results for crystalline K4SrSi3O9 at its relaxed geometry.

The formation energy from raw total energies comes out at -2.543 eV per atom. The volume comes out at 15.92 Å³ per atom.

Cell lengths 11.127, 7.256, 7.256 Å; angles 67.54, 90.00, 90.00 degrees
Sites, in units of the cell vectors:
1 K 0.000 0.000 0.000
2 K 0.000 0.439 0.439
3 K 0.250 0.717 0.268
4 K 0.250 0.842 0.730
5 K 0.500 0.000 0.000
6 K 0.500 0.439 0.439
7 K 0.750 0.268 0.717
8 K 0.750 0.730 0.842
9 Sr 0.250 0.222 0.243
10 Sr 0.750 0.243 0.222
11 Si 0.031 0.517 0.904
12 Si 0.250 0.311 0.756
13 Si 0.469 0.517 0.904
14 Si 0.531 0.904 0.517
15 Si 0.750 0.756 0.311
16 Si 0.969 0.904 0.517
17 O 0.000 0.757 0.757
18 O 0.090 0.943 0.384
19 O 0.103 0.522 0.095
20 O 0.128 0.446 0.763
21 O 0.250 0.101 0.948
22 O 0.250 0.296 0.540
23 O 0.372 0.446 0.763
24 O 0.397 0.522 0.095
25 O 0.410 0.943 0.384
26 O 0.500 0.757 0.757
27 O 0.590 0.384 0.943
28 O 0.603 0.095 0.522
29 O 0.628 0.763 0.446
30 O 0.750 0.540 0.296
31 O 0.750 0.948 0.101
32 O 0.872 0.763 0.446
33 O 0.897 0.095 0.522
34 O 0.910 0.384 0.943

***

(5)
DFT (PBE) results for crystalline K2SrSi2O6 at its relaxed geometry.

The formation energy from raw total energies comes out at -2.401 eV per atom. The volume comes out at 18.32 Å³ per atom.

Cell lengths 6.006, 6.006, 7.267 Å; angles 113.60, 113.60, 60.11 degrees
Sites, in units of the cell vectors:
1 K 0.198 0.198 0.095
2 K 0.802 0.802 0.905
3 Sr 0.000 0.000 0.500
4 Si 0.418 0.418 0.752
5 Si 0.582 0.582 0.248
6 O 0.264 0.264 0.748
7 O 0.268 0.724 0.757
8 O 0.276 0.732 0.243
9 O 0.724 0.268 0.757
10 O 0.732 0.276 0.243
11 O 0.736 0.736 0.252

***

(6)
DFT (PBE) results for crystalline KTaSiO5 at its relaxed geometry.

The formation energy from raw total energies comes out at -2.692 eV per atom. The volume comes out at 13.47 Å³ per atom.

Cell lengths 5.745, 5.745, 7.529 Å; angles 105.73, 105.73, 104.60 degrees
Sites, in units of the cell vectors:
1 K 0.170 0.830 0.750
2 K 0.830 0.170 0.250
3 Ta 0.500 0.500 0.000
4 Ta 0.500 0.500 0.500
5 Si 0.187 0.813 0.250
6 Si 0.813 0.187 0.750
7 O 0.121 0.274 0.889
8 O 0.216 0.629 0.385
9 O 0.274 0.121 0.389
10 O 0.371 0.784 0.115
11 O 0.443 0.557 0.750
12 O 0.557 0.443 0.250
13 O 0.629 0.216 0.885
14 O 0.726 0.879 0.611
15 O 0.784 0.371 0.615
16 O 0.879 0.726 0.111

***

(7)
DFT (PBE) results for crystalline K2TbSiO4 at its relaxed geometry.

The formation energy from raw total energies comes out at -2.159 eV per atom. The volume comes out at 25.26 Å³ per atom.

Cell lengths 13.041, 11.806, 6.838 Å; angles 84.29, 64.26, 31.45 degrees
Sites, in units of the cell vectors:
1 K 0.060 0.060 0.690
2 K 0.310 0.310 0.940
3 K 0.690 0.690 0.060
4 K 0.940 0.940 0.310
5 Tb 0.125 0.125 0.125
6 Tb 0.875 0.875 0.875
7 Si 0.375 0.375 0.375
8 Si 0.625 0.625 0.625
9 O 0.073 0.604 0.518
10 O 0.305 0.518 0.604
11 O 0.396 0.927 0.695
12 O 0.482 0.695 0.927
13 O 0.518 0.305 0.073
14 O 0.604 0.073 0.305
15 O 0.695 0.482 0.396
16 O 0.927 0.396 0.482

***

(8)
DFT (PBE) results for crystalline KSiTcO6 at its relaxed geometry.

The formation energy from raw total energies comes out at -1.765 eV per atom. The volume comes out at 14.40 Å³ per atom.

Cell lengths 4.975, 4.975, 6.047 Å; angles 90.00, 90.00, 120.00 degrees
Sites, in units of the cell vectors:
1 K 0.000 0.000 0.000
2 Si 0.667 0.333 0.500
3 Tc 0.333 0.667 0.500
4 O 0.399 0.015 0.328
5 O 0.399 0.385 0.672
6 O 0.615 0.015 0.672
7 O 0.615 0.601 0.328
8 O 0.985 0.385 0.328
9 O 0.985 0.601 0.672

***

(9)
DFT (PBE) results for crystalline K2SiTcO6 at its relaxed geometry.

The formation energy from raw total energies comes out at -1.717 eV per atom. The volume comes out at 10.90 Å³ per atom.

Cell lengths 5.362, 5.362, 5.362 Å; angles 60.00, 60.00, 60.00 degrees
Sites, in units of the cell vectors:
1 K 0.250 0.250 0.250
2 K 0.750 0.750 0.750
3 Si 0.000 0.000 0.000
4 Tc 0.500 0.500 0.500
5 O 0.241 0.241 0.759
6 O 0.241 0.759 0.241
7 O 0.241 0.759 0.759
8 O 0.759 0.241 0.241
9 O 0.759 0.241 0.759
10 O 0.759 0.759 0.241

***

(10)
DFT (PBE) results for crystalline KSiTeO6 at its relaxed geometry.

The formation energy from raw total energies comes out at -1.534 eV per atom. The volume comes out at 14.78 Å³ per atom.

Cell lengths 5.004, 5.004, 12.268 Å; angles 90.00, 90.00, 120.00 degrees
Sites, in units of the cell vectors:
1 K 0.000 0.000 0.000
2 K 0.000 0.000 0.500
3 Si 0.333 0.667 0.250
4 Si 0.667 0.333 0.750
5 Te 0.333 0.667 0.750
6 Te 0.667 0.333 0.250
7 O 0.023 0.389 0.165
8 O 0.023 0.633 0.335
9 O 0.367 0.389 0.335
10 O 0.367 0.977 0.165
11 O 0.389 0.023 0.665
12 O 0.389 0.367 0.835
13 O 0.611 0.633 0.165
14 O 0.611 0.977 0.335
15 O 0.633 0.023 0.835
16 O 0.633 0.611 0.665
17 O 0.977 0.367 0.665
18 O 0.977 0.611 0.835

***

(11)
DFT (PBE) results for crystalline KSi2TeO8 at its relaxed geometry.

The formation energy from raw total energies comes out at -1.798 eV per atom. The volume comes out at 14.15 Å³ per atom.

Cell lengths 4.976, 4.976, 7.790 Å; angles 102.02, 102.02, 65.34 degrees
Sites, in units of the cell vectors:
1 K 0.000 0.000 0.000
2 Si 0.403 0.403 0.711
3 Si 0.597 0.597 0.289
4 Te 0.000 0.000 0.500
5 O 0.235 0.235 0.548
6 O 0.238 0.740 0.317
7 O 0.260 0.762 0.683
8 O 0.369 0.369 0.907
9 O 0.631 0.631 0.093
10 O 0.740 0.238 0.317
11 O 0.762 0.260 0.683
12 O 0.765 0.765 0.452

***

(12)
DFT (PBE) results for crystalline KTiSiO4 at its relaxed geometry.

The formation energy from raw total energies comes out at -2.503 eV per atom. The volume comes out at 19.41 Å³ per atom.

Cell lengths 5.770, 5.770, 5.770 Å; angles 60.00, 60.00, 60.00 degrees
Sites, in units of the cell vectors:
1 K 0.000 0.000 0.000
2 Ti 0.250 0.250 0.250
3 Si 0.500 0.500 0.500
4 O 0.384 0.384 0.384
5 O 0.384 0.384 0.848
6 O 0.384 0.848 0.384
7 O 0.848 0.384 0.384